DFT (PBE) results for a geometry-optimized Ir2OsPt2 structure.

Values from the calculation:
The calculation puts the final energy at -75.201 eV per cell. The value obtained for the energy of formation is 0.687 eV per atom. As for the energy above the most stable polymorph in this dataset: 0.5993 eV per atom. The space group is P4/mbm, No. 127.

Lattice parameters (Å, degrees): 6.925 6.925 3.316 90.00 90.00 90.00
Fractional coordinates of all 10 atoms:
Ir 0.167 0.333 0.000
Ir 0.333 0.833 0.000
Ir 0.667 0.167 0.000
Ir 0.833 0.667 0.000
Os 0.000 0.000 0.500
Os 0.500 0.500 0.500
Pt 0.134 0.634 0.500
Pt 0.366 0.134 0.500
Pt 0.634 0.866 0.500
Pt 0.866 0.366 0.500